A geometry-optimized ZnCdCuBi structure, computed with PBE.

## Properties
* VASP energy: -2.250 eV/atom
* space-group type: F-43m, No. 216
* energy above the most stable polymorph in this dataset: 0 meV per atom
* crystal system: cubic

Lattice parameters (Å, degrees): 4.8796 4.8796 4.8796 60.00 60.00 60.00
Atoms (fractional coordinates):
Zn1 0.0000 0.0000 0.0000
Cd1 0.7500 0.7500 0.7500
Cu1 0.5000 0.5000 0.5000
Bi1 0.2500 0.2500 0.2500



A geometry-optimized ZnCdCuBi structure, computed with PBE.

## Properties
* VASP energy: -2.189 eV/atom
* space-group type: F-43m, No. 216
* energy above the most stable polymorph in this dataset: 61 meV per atom
* crystal system: cubic

Lattice parameters (Å, degrees): 4.9170 4.9170 4.9170 60.00 60.00 60.00
Atoms (fractional coordinates):
Zn1 0.0000 0.0000 0.0000
Cd1 0.2500 0.2500 0.2500
Cu1 0.7500 0.7500 0.7500
Bi1 0.5000 0.5000 0.5000



A geometry-optimized ZrCdCuBi structure, computed with PBE.

## Properties
* VASP energy: -4.067 eV/atom
* space-group type: F-43m, No. 216
* energy above the most stable polymorph in this dataset: 0 meV per atom
* crystal system: cubic
* M_tot: 0.52 μB/cell

Lattice parameters (Å, degrees): 4.9559 4.9559 4.9559 60.00 60.00 60.00
Atoms (fractional coordinates):
Zr1 0.0000 0.0000 0.0000
Cd1 0.7500 0.7500 0.7500
Cu1 0.5000 0.5000 0.5000
Bi1 0.2500 0.2500 0.2500



A geometry-optimized ZrCdCuBi structure, computed with PBE.

## Properties
* VASP energy: -4.058 eV/atom
* space-group type: F-43m, No. 216
* energy above the most stable polymorph in this dataset: 9 meV per atom
* crystal system: cubic
* M_tot: 0.65 μB/cell

Lattice parameters (Å, degrees): 4.9651 4.9651 4.9651 60.00 60.00 60.00
Atoms (fractional coordinates):
Zr1 0.0000 0.0000 0.0000
Cd1 0.5000 0.5000 0.5000
Cu1 0.7500 0.7500 0.7500
Bi1 0.2500 0.2500 0.2500